(1)
Computed, not measured: a relaxed Ce2Pm3TmTe6 crystal at the PBE level of DFT.

total DFT energy (no corrections): -0.201 hartree per atom
formation energy (no corrections): -1.361 eV/atom
spin magnetization: 2.433 μB per formula unit
DOS at the Fermi energy: 35.54 states/eV/cell

Unit cell a=19.419 b=4.412 c=8.970 alpha=90.00 beta=103.79 gamma=90.00
Space group C2/m (No. 12)
Unique sites:
Ce (0.168, 0.000, 0.337) [4 per cell]
Pm (0.000, 0.500, 0.500) [2 per cell]
Pm (0.170, 0.000, 0.835) [4 per cell]
Tm (0.000, 0.500, 0.000) [2 per cell]
Te (0.001, 0.000, 0.761) [4 per cell]
Te (0.162, 0.500, 0.081) [4 per cell]
Te (0.166, 0.500, 0.586) [4 per cell]

---

(2)
Computed, not measured: a relaxed CePm2TmTe5 crystal at the PBE level of DFT.

total DFT energy (no corrections): -0.176 hartree per atom
formation energy (no corrections): -0.820 eV/atom
spin magnetization: 1.533 μB per formula unit
DOS at the Fermi energy: 13.14 states/eV/cell

Unit cell a=5.491 b=5.491 c=11.860 alpha=90.00 beta=90.00 gamma=90.00
Space group P4/mmm (No. 123)
Unique sites:
Ce (0.000, 0.000, 0.000) [1 per cell]
Pm (0.500, 0.500, 0.345) [2 per cell]
Tm (0.000, 0.000, 0.500) [1 per cell]
Te (0.000, 0.000, 0.253) [2 per cell]
Te (0.000, 0.500, 0.500) [2 per cell]
Te (0.500, 0.500, 0.000) [1 per cell]

---

(3)
Computed, not measured: a relaxed Ce3PmTm2Te6 crystal at the PBE level of DFT.

total DFT energy (no corrections): -0.203 hartree per atom
formation energy (no corrections): -1.321 eV/atom
spin magnetization: 3.568 μB per formula unit
DOS at the Fermi energy: 45.99 states/eV/cell

Unit cell a=7.596 b=13.169 c=7.765 alpha=90.00 beta=109.04 gamma=90.00
Space group C2/m (No. 12)
Unique sites:
Ce (0.000, 0.000, 0.000) [2 per cell]
Ce (0.000, 0.340, 0.000) [4 per cell]
Pm (0.000, 0.500, 0.500) [2 per cell]
Tm (0.000, 0.168, 0.500) [4 per cell]
Te (0.235, 0.000, 0.734) [4 per cell]
Te (0.248, 0.171, 0.259) [8 per cell]

---

(4)
Computed, not measured: a relaxed Ce3Pm4YTe8 crystal at the PBE level of DFT.

total DFT energy (no corrections): -0.208 hartree per atom
formation energy (no corrections): -1.385 eV/atom
spin magnetization: 3.569 μB per formula unit
DOS at the Fermi energy: 52.60 states/eV/cell

Unit cell a=15.419 b=8.920 c=8.930 alpha=90.00 beta=125.06 gamma=90.00
Space group C2/m (No. 12)
Unique sites:
Ce (0.000, 0.000, 0.000) [2 per cell]
Ce (0.250, 0.250, 0.000) [4 per cell]
Pm (0.000, 0.000, 0.500) [2 per cell]
Pm (0.000, 0.500, 0.500) [2 per cell]
Pm (0.250, 0.250, 0.500) [4 per cell]
Y (0.000, 0.500, 0.000) [2 per cell]
Te (0.000, 0.253, 0.248) [8 per cell]
Te (0.247, 0.500, 0.248) [4 per cell]
Te (0.249, 0.500, 0.748) [4 per cell]

---

(5)
Computed, not measured: a relaxed Ce2PmY3Te6 crystal at the PBE level of DFT.

total DFT energy (no corrections): -0.218 hartree per atom
formation energy (no corrections): -1.356 eV/atom
spin magnetization: 2.585 μB per formula unit
DOS at the Fermi energy: 34.74 states/eV/cell

Unit cell a=19.364 b=4.385 c=8.935 alpha=90.00 beta=104.38 gamma=90.00
Space group C2/m (No. 12)
Unique sites:
Ce (0.167, 0.000, 0.335) [4 per cell]
Pm (0.000, 0.500, 0.000) [2 per cell]
Y (0.000, 0.500, 0.500) [2 per cell]
Y (0.166, 0.000, 0.833) [4 per cell]
Te (0.002, 0.000, 0.745) [4 per cell]
Te (0.164, 0.500, 0.590) [4 per cell]
Te (0.169, 0.500, 0.078) [4 per cell]

---

(6)
Computed, not measured: a relaxed Ce2Pm3YTe6 crystal at the PBE level of DFT.

total DFT energy (no corrections): -0.208 hartree per atom
formation energy (no corrections): -1.384 eV/atom
spin magnetization: 2.461 μB per formula unit
DOS at the Fermi energy: 35.61 states/eV/cell

Unit cell a=19.453 b=4.431 c=8.976 alpha=90.00 beta=103.70 gamma=90.00
Space group C2/m (No. 12)
Unique sites:
Ce (0.167, 0.000, 0.336) [4 per cell]
Pm (0.000, 0.500, 0.500) [2 per cell]
Pm (0.168, 0.000, 0.834) [4 per cell]
Y (0.000, 0.500, 0.000) [2 per cell]
Te (0.001, 0.000, 0.756) [4 per cell]
Te (0.164, 0.500, 0.082) [4 per cell]
Te (0.166, 0.500, 0.585) [4 per cell]